No. 1
Material: RbYV2
Method: DFT, GGA-PBE
State: optimized geometry

Results
density = 3.9 g/cm3
energy relative to the elements = 6.5 eV/f.u.
symmetry = I-42d, No. 122
total moment = 0.0 μB per formula unit
energy above the lowest structure with this stoichiometry = 224 meV per atom

abc: 4.639 4.639 11.336
angles: 78.19 78.19 90.00
Atoms (fractional coordinates):
Y  0.000  0.000  0.000
Y  0.750  0.250  0.500
Rb  0.500  0.500  0.000
Rb  0.250  0.750  0.500
V  0.856  0.125  0.250
V  0.894  0.625  0.250
V  0.375  0.144  0.750
V  0.875  0.106  0.750

---

No. 2
Material: RbY3V
Method: DFT, GGA-PBE
State: optimized geometry

Results
density = 4.2 g/cm3
energy relative to the elements = 8.4 eV/f.u.
symmetry = Pm-3m, No. 221
total moment = 3.2 μB per formula unit
energy above the lowest structure with this stoichiometry = 1074 meV per atom

abc: 5.427 5.427 5.427
angles: 90.00 90.00 90.00
Atoms (fractional coordinates):
Y  0.000  0.500  0.000
Y  0.000  0.000  0.500
Y  0.500  0.000  0.000
Rb  0.000  0.000  0.000
V  0.500  0.500  0.500

---

No. 3
Material: RbYV3
Method: DFT, GGA-PBE
State: optimized geometry

Results
density = 3.7 g/cm3
energy relative to the elements = 10.1 eV/f.u.
symmetry = Pm-3m, No. 221
total moment = 7.3 μB per formula unit
energy above the lowest structure with this stoichiometry = 0 meV per atom

abc: 5.293 5.293 5.293
angles: 90.00 90.00 90.00
Atoms (fractional coordinates):
Y  0.000  0.000  0.000
Rb  0.500  0.500  0.500
V  0.000  0.500  0.000
V  0.000  0.000  0.500
V  0.500  0.000  0.000

---

No. 4
Material: RbYV2
Method: DFT, GGA-PBE
State: optimized geometry

Results
density = 3.9 g/cm3
energy relative to the elements = 5.6 eV/f.u.
symmetry = Fm-3m, No. 225
total moment = 8.8 μB per formula unit
energy above the lowest structure with this stoichiometry = 0 meV per atom

abc: 5.494 5.494 5.494
angles: 60.00 60.00 60.00
Atoms (fractional coordinates):
Y  0.500  0.500  0.500
Rb  0.000  0.000  0.000
V  0.250  0.250  0.250
V  0.750  0.750  0.750

---

No. 5
Material: Rb2YV
Method: DFT, GGA-PBE
State: optimized geometry

Results
density = 2.9 g/cm3
energy relative to the elements = 5.6 eV/f.u.
symmetry = Fm-3m, No. 225
total moment = 5.5 μB per formula unit
energy above the lowest structure with this stoichiometry = 185 meV per atom

abc: 6.284 6.284 6.284
angles: 60.00 60.00 60.00
Atoms (fractional coordinates):
Y  0.500  0.500  0.500
Rb  0.250  0.250  0.250
Rb  0.750  0.750  0.750
V  0.000  0.000  0.000

---

No. 6
Material: RbYV3
Method: DFT, GGA-PBE
State: optimized geometry

Results
density = 5.3 g/cm3
energy relative to the elements = 11.0 eV/f.u.
symmetry = Pm-3m, No. 221
total moment = 0.0 μB per formula unit
energy above the lowest structure with this stoichiometry = 197 meV per atom

abc: 4.668 4.668 4.668
angles: 90.00 90.00 90.00
Atoms (fractional coordinates):
Y  0.500  0.500  0.500
Rb  0.000  0.000  0.000
V  0.000  0.500  0.000
V  0.000  0.000  0.500
V  0.500  0.000  0.000

---

No. 7
Material: RbY2V
Method: DFT, GGA-PBE
State: optimized geometry

Results
density = 2.8 g/cm3
energy relative to the elements = 4.7 eV/f.u.
symmetry = I-42d, No. 122
total moment = 2.0 μB per formula unit
energy above the lowest structure with this stoichiometry = 287 meV per atom

abc: 8.104 8.104 8.090
angles: 59.94 59.94 90.00
Atoms (fractional coordinates):
Y  0.374  0.125  0.250
Y  0.376  0.625  0.250
Y  0.375  0.626  0.750
Y  0.875  0.624  0.750
Rb  0.000  0.000  0.000
Rb  0.750  0.250  0.500
V  0.500  0.500  0.000
V  0.250  0.750  0.500

---

No. 8
Material: Rb2YV
Method: DFT, GGA-PBE
State: optimized geometry

Results
density = 2.1 g/cm3
energy relative to the elements = 4.8 eV/f.u.
symmetry = I-42d, No. 122
total moment = 6.4 μB per formula unit
energy above the lowest structure with this stoichiometry = 0 meV per atom

abc: 13.285 13.285 9.816
angles: 47.42 47.42 90.00
Atoms (fractional coordinates):
Y  0.000  0.000  0.000
Y  0.750  0.250  0.500
Rb  0.490  0.125  0.250
Rb  0.260  0.625  0.250
Rb  0.375  0.510  0.750
Rb  0.875  0.740  0.750
V  0.500  0.500  0.000
V  0.250  0.750  0.500

---

No. 9
Material: RbY3V
Method: DFT, GGA-PBE
State: optimized geometry

Results
density = 3.7 g/cm3
energy relative to the elements = 3.0 eV/f.u.
symmetry = Pm-3m, No. 221
total moment = 2.0 μB per formula unit
energy above the lowest structure with this stoichiometry = 0 meV per atom

abc: 5.644 5.644 5.644
angles: 90.00 90.00 90.00
Atoms (fractional coordinates):
Y  0.000  0.500  0.000
Y  0.000  0.000  0.500
Y  0.500  0.000  0.000
Rb  0.500  0.500  0.500
V  0.000  0.000  0.000

---

No. 10
Material: RbY2V
Method: DFT, GGA-PBE
State: optimized geometry

Results
density = 4.2 g/cm3
energy relative to the elements = 3.5 eV/f.u.
symmetry = Fm-3m, No. 225
total moment = 4.9 μB per formula unit
energy above the lowest structure with this stoichiometry = 0 meV per atom

abc: 5.598 5.598 5.598
angles: 60.00 60.00 60.00
Atoms (fractional coordinates):
Y  0.250  0.250  0.250
Y  0.750  0.750  0.750
Rb  0.500  0.500  0.500
V  0.000  0.000  0.000

---

No. 11
Material: RbVZn
Method: DFT, GGA-PBE
State: optimized geometry

Results
density = 3.3 g/cm3
energy relative to the elements = 2.8 eV/f.u.
symmetry = P-6m2, No. 187
total moment = 4.2 μB per formula unit
energy above the lowest structure with this stoichiometry = 552 meV per atom

abc: 4.568 4.568 5.659
angles: 90.00 90.00 120.00
Atoms (fractional coordinates):
Zn  0.000  0.000  0.000
Rb  0.667  0.333  0.500
V  0.333  0.667  0.000

---

No. 12
Material: RbVZn
Method: DFT, GGA-PBE
State: optimized geometry

Results
density = 3.6 g/cm3
energy relative to the elements = 1.2 eV/f.u.
symmetry = P1, No. 1
total moment = 0.0 μB per formula unit
energy above the lowest structure with this stoichiometry = 0 meV per atom

abc: 4.213 12.251 4.213
angles: 95.92 61.18 85.49
Atoms (fractional coordinates):
Zn  0.394  0.145  0.256
Zn  0.292  0.354  0.367
Rb  0.834  0.936  0.482
Rb  0.529  0.563  0.818
V  0.000  0.250  0.968
V  0.687  0.250  0.655

---

No. 13
Material: RbVZn
Method: DFT, GGA-PBE
State: optimized geometry

Results
density = 3.9 g/cm3
energy relative to the elements = 1.2 eV/f.u.
symmetry = Cmc2_1, No. 36
total moment = 0.1 μB per formula unit
energy above the lowest structure with this stoichiometry = 8 meV per atom

abc: 12.750 12.750 3.418
angles: 90.00 90.00 162.01
Atoms (fractional coordinates):
Zn  0.045  0.955  0.878
Zn  0.955  0.045  0.378
Rb  0.663  0.337  0.390
Rb  0.337  0.663  0.890
V  0.533  0.467  0.377
V  0.467  0.533  0.877

---

No. 14
Material: RbVZn
Method: DFT, GGA-PBE
State: optimized geometry

Results
density = 3.3 g/cm3
energy relative to the elements = 1.5 eV/f.u.
symmetry = P1, No. 1
total moment = 0.0 μB per formula unit
energy above the lowest structure with this stoichiometry = 111 meV per atom

abc: 4.262 12.057 4.200
angles: 83.48 72.51 95.01
Atoms (fractional coordinates):
Zn  0.033  0.370  0.759
Zn  0.172  0.226  0.230
Rb  0.153  0.933  0.452
Rb  0.554  0.561  0.117
V  0.558  0.244  0.605
V  0.768  0.165  0.885

---

No. 15
Material: RbVZn
Method: DFT, GGA-PBE
State: optimized geometry

Results
density = 3.7 g/cm3
energy relative to the elements = 1.2 eV/f.u.
symmetry = P-1, No. 2
total moment = 0.0 μB per formula unit
energy above the lowest structure with this stoichiometry = 27 meV per atom

abc: 3.878 12.765 3.754
angles: 98.74 90.01 96.30
Atoms (fractional coordinates):
Zn  0.654  0.909  0.453
Zn  0.346  0.091  0.547
Rb  0.307  0.676  0.837
Rb  0.693  0.324  0.163
V  0.143  0.942  0.970
V  0.857  0.058  0.030

---

No. 16
Material: RbVZn
Method: DFT, GGA-PBE
State: optimized geometry

Results
density = 3.8 g/cm3
energy relative to the elements = 1.6 eV/f.u.
symmetry = P1, No. 1
total moment = 0.3 μB per formula unit
energy above the lowest structure with this stoichiometry = 135 meV per atom

abc: 3.217 12.817 4.596
angles: 82.32 70.19 85.15
Atoms (fractional coordinates):
Zn  0.031  0.052  0.793
Zn  0.747  0.104  0.346
Rb  0.405  0.312  0.845
Rb  0.946  0.669  0.225
V  0.596  0.893  0.669
V  0.392  0.942  0.223

---

No. 17
Material: RbV3Zn
Method: DFT, GGA-PBE
State: optimized geometry

Results
density = 3.9 g/cm3
energy relative to the elements = 7.4 eV/f.u.
symmetry = Pm-3m, No. 221
total moment = 10.7 μB per formula unit
energy above the lowest structure with this stoichiometry = 0 meV per atom

abc: 5.055 5.055 5.055
angles: 90.00 90.00 90.00
Atoms (fractional coordinates):
Zn  0.000  0.000  0.000
Rb  0.500  0.500  0.500
V  0.000  0.500  0.000
V  0.000  0.000  0.500
V  0.500  0.000  0.000

---

No. 18
Material: RbVZn
Method: DFT, GGA-PBE
State: optimized geometry

Results
density = 3.3 g/cm3
energy relative to the elements = 2.8 eV/f.u.
symmetry = P6_3/mmc, No. 194
total moment = 4.2 μB per formula unit
energy above the lowest structure with this stoichiometry = 553 meV per atom

abc: 4.569 4.569 11.323
angles: 90.00 90.00 120.00
Atoms (fractional coordinates):
Zn  0.333  0.667  0.250
Zn  0.667  0.333  0.750
Rb  0.000  0.000  0.000
Rb  0.000  0.000  0.500
V  0.333  0.667  0.750
V  0.667  0.333  0.250

---

No. 19
Material: RbVZn
Method: DFT, GGA-PBE
State: optimized geometry

Results
density = 4.4 g/cm3
energy relative to the elements = 1.2 eV/f.u.
symmetry = P-1, No. 2
total moment = 0.0 μB per formula unit
energy above the lowest structure with this stoichiometry = 25 meV per atom

abc: 3.312 14.080 3.314
angles: 95.23 90.00 89.32
Atoms (fractional coordinates):
Zn  0.257  0.855  0.694
Zn  0.743  0.145  0.306
Rb  0.768  0.663  0.119
Rb  0.232  0.337  0.881
V  0.752  0.959  0.234
V  0.248  0.041  0.766

---

No. 20
Material: RbVZn
Method: DFT, GGA-PBE
State: optimized geometry

Results
density = 3.4 g/cm3
energy relative to the elements = 2.7 eV/f.u.
symmetry = P-6m2, No. 187
total moment = 0.0 μB per formula unit
energy above the lowest structure with this stoichiometry = 528 meV per atom

abc: 5.346 5.346 7.875
angles: 90.00 90.00 120.00
Atoms (fractional coordinates):
Zn  0.333  0.667  0.335
Zn  0.333  0.667  0.665
Rb  0.667  0.333  0.000
Rb  0.667  0.333  0.500
V  0.000  0.000  0.384
V  0.000  0.000  0.616

---

Number 1: calculated volume 233.56 Å³ per cell. Number 2: calculated volume 159.85 Å³ per cell. Number 3: calculated volume 148.33 Å³ per cell. Number 4: calculated volume 117.29 Å³ per cell. Number 5: calculated volume 175.45 Å³ per cell. Number 6: calculated volume 101.74 Å³ per cell. Number 7: calculated volume 375.01 Å³ per cell. Number 8: calculated volume 502.96 Å³ per cell. Number 9: calculated volume 179.79 Å³ per cell. Number 10: calculated volume 124.06 Å³ per cell. Number 11: calculated volume 102.28 Å³ per cell. Number 12: calculated volume 187.42 Å³ per cell. Number 13: calculated volume 171.64 Å³ per cell. Number 14: calculated volume 202.83 Å³ per cell. Number 15: calculated volume 182.52 Å³ per cell. Number 16: calculated volume 176.53 Å³ per cell. Number 17: calculated volume 129.14 Å³ per cell. Number 18: calculated volume 204.71 Å³ per cell. Number 19: calculated volume 153.89 Å³ per cell. Number 20: calculated volume 194.88 Å³ per cell.